Record 1
Entry from Alexandria via LeMat-Bulk: a relaxed LiAc2Mg2 crystal (PBE-GGA).

## Properties
DFT formation energy   3 meV per atom
V   159.2 Å³/cell

```
LiAc2Mg2
1.0
-1.9051 3.6519 5.7216
1.9051 -3.6519 5.7216
1.9051 3.6519 -5.7216
Li Ac Mg
1 2 2
Cartesian
0.0000 0.0000 0.0000
1.9051 0.0000 3.0682
0.0000 3.6519 2.6534
1.9051 2.1344 0.0000
0.0000 1.5175 5.7216
```

***

Record 2
Entry from Alexandria via LeMat-Bulk: a relaxed Li3Ac2Mg crystal (PBE-GGA).

## Properties
DFT formation energy   26 meV per atom
V   175.8 Å³/cell

```
Li3Ac2Mg
1.0
3.1794 1.8356 5.0198
-3.1794 1.8356 5.0198
0.0000 -3.6712 5.0198
Li Ac Mg
3 2 1
Cartesian
-1.5897 -0.9178 5.0198
-1.5897 0.9178 10.0396
0.0000 1.8356 5.0198
0.0000 0.0000 1.9282
0.0000 0.0000 13.1312
0.0000 0.0000 7.5297
```

***

Record 3
Entry from Alexandria via LeMat-Bulk: a relaxed LiAc2Mg4 crystal (PBE-GGA).

## Properties
DFT formation energy   157 meV per atom
V   221.0 Å³/cell

```
LiAc2Mg4
1.0
-2.5296 2.5296 8.6325
2.5296 -2.5296 8.6325
2.5296 2.5296 -8.6325
Li Ac Mg
1 2 4
Cartesian
0.0000 0.0000 0.0000
0.0000 0.0000 6.1360
0.0000 0.0000 11.1290
2.5296 0.0000 0.0000
0.0000 0.0000 2.6161
0.0000 2.5296 0.0000
0.0000 0.0000 14.6489
```

***

Record 4
Entry from Alexandria via LeMat-Bulk: a relaxed Li2AcMg crystal (PBE-GGA).

## Properties
Excess energy over the best structure of this formula in the dataset   4 meV/atom
DFT formation energy   55 meV per atom
V   108.6 Å³/cell

```
Li2AcMg
1.0
0.0000 3.7864 3.7864
3.7864 0.0000 3.7864
3.7864 3.7864 0.0000
Li Ac Mg
2 1 1
Cartesian
1.8932 1.8932 1.8932
5.6797 5.6797 5.6797
0.0000 0.0000 0.0000
3.7864 3.7864 3.7864
```

***

Record 5
Entry from Alexandria via LeMat-Bulk: a relaxed LiAc2Mg16 crystal (PBE-GGA).

## Properties
DFT formation energy   -79 meV per atom
V   484.0 Å³/cell

```
LiAc2Mg16
1.0
5.2289 3.0189 5.1106
-5.2289 3.0189 5.1106
0.0000 -6.0378 5.1106
Li Ac Mg
1 2 16
Cartesian
0.0000 0.0000 0.0000
0.0000 0.0000 6.6412
0.0000 0.0000 11.6860
0.0000 -3.0457 4.0527
-2.6376 1.5228 4.0527
-1.5500 -3.3549 6.6082
-3.6804 0.3351 6.6082
0.0000 0.0000 2.9665
-2.5803 -1.4897 8.9511
1.5500 -3.3549 6.6082
-2.1304 3.0198 6.6082
0.0000 -2.9790 9.3736
-2.5799 1.4895 9.3736
2.6376 1.5228 4.0527
2.5803 -1.4897 8.9512
0.0000 2.9794 8.9512
3.6804 0.3351 6.6083
2.1304 3.0198 6.6083
2.5799 1.4895 9.3736
```

***

Record 6
Entry from Alexandria via LeMat-Bulk: a relaxed Li2AcMg crystal (PBE-GGA).

## Properties
Excess energy over the best structure of this formula in the dataset   0 meV/atom
DFT formation energy   51 meV per atom
V   108.3 Å³/cell

```
Li2AcMg
1.0
3.7400 0.0000 0.0000
0.0000 3.7400 0.0000
0.0000 0.0000 7.7443
Li Ac Mg
2 1 1
Cartesian
0.0000 0.0000 1.5019
0.0000 0.0000 6.2424
1.8700 1.8700 3.8722
1.8700 1.8700 0.0000
```

***

Record 7
Entry from Alexandria via LeMat-Bulk: a relaxed Li2AcMg4 crystal (PBE-GGA).

## Properties
DFT formation energy   -40 meV per atom
V   181.8 Å³/cell

```
Li2AcMg4
1.0
4.8934 -3.9702 0.0000
4.8934 3.9702 0.0000
-3.3948 0.0000 4.6800
Li Ac Mg
2 1 4
Cartesian
-0.8448 0.0000 1.1721
7.2369 0.0000 3.5079
3.1960 0.0000 2.3400
0.2649 1.5317 3.7734
0.2649 -1.5317 3.7734
6.1272 1.5317 0.9066
6.1272 -1.5317 0.9066
```

***

Record 8
Entry from Alexandria via LeMat-Bulk: a relaxed Li4AcMg2 crystal (PBE-GGA).

## Properties
Excess energy over the best structure of this formula in the dataset   0 meV/atom
DFT formation energy   -9 meV per atom
V   168.2 Å³/cell

```
Li4AcMg2
1.0
-3.7350 3.7350 3.0134
3.7350 -3.7350 3.0134
3.7350 3.7350 -3.0134
Li Ac Mg
4 1 2
Cartesian
1.3821 1.3821 0.0000
2.3529 -2.3529 3.0134
-2.3529 2.3529 3.0134
2.3529 2.3529 3.0134
0.0000 0.0000 3.0134
3.7350 0.0000 1.5067
0.0000 3.7350 1.5067
```

***

Record 9
Entry from Alexandria via LeMat-Bulk: a relaxed Li2AcMg6 crystal (PBE-GGA).

## Properties
DFT formation energy   -11 meV per atom
V   226.1 Å³/cell

```
Li2AcMg6
1.0
4.7792 0.0000 0.0000
0.0000 4.7792 0.0000
0.0000 0.0000 9.9008
Li Ac Mg
2 1 6
Cartesian
0.0000 0.0000 1.3591
0.0000 0.0000 8.5417
2.3896 2.3896 0.0000
0.0000 0.0000 4.9504
0.0000 2.3896 2.9242
0.0000 2.3896 6.9766
2.3896 0.0000 2.9242
2.3896 0.0000 6.9766
2.3896 2.3896 4.9504
```

***

Record 10
Entry from Alexandria via LeMat-Bulk: a relaxed Li3Ac3Mg8 crystal (PBE-GGA).

## Properties
DFT formation energy   -33 meV per atom
V   391.1 Å³/cell

```
Li3Ac3Mg8
1.0
-2.6711 4.9972 7.3250
2.6711 -4.9972 7.3250
2.6711 4.9972 -7.3250
Li Ac Mg
3 3 8
Cartesian
0.0000 0.0000 0.0000
2.6711 1.4870 0.0000
0.0000 3.5102 7.3250
2.6711 0.0000 3.3435
0.0000 4.9972 0.0000
0.0000 4.9972 3.9815
2.6711 -3.0582 5.3339
2.6711 3.4796 -2.1413
0.0000 1.9390 1.9912
2.6711 3.4796 2.1413
0.0000 1.5176 5.1837
2.6711 3.0582 5.3339
0.0000 1.5176 9.4664
0.0000 8.0554 1.9912
```

***

Record 11
Entry from Alexandria via LeMat-Bulk: a relaxed LiAc3Mg crystal (PBE-GGA).

## Properties
DFT formation energy   5 meV per atom
V   366.7 Å³/cell

```
LiAc3Mg
1.0
2.8792 -11.0363 0.0000
2.8792 11.0363 0.0000
0.0000 0.0000 5.7703
Li Ac Mg
2 6 2
Cartesian
2.8792 7.5789 4.3277
2.8792 -7.5789 1.4426
2.8792 9.6453 1.4426
2.8792 5.5048 1.4426
2.8792 1.3850 1.4426
2.8792 -1.3850 4.3277
2.8792 -5.5048 4.3277
2.8792 -9.6453 4.3277
2.8792 3.4585 4.3277
2.8792 -3.4585 1.4426
```

***

Record 12
Entry from Alexandria via LeMat-Bulk: a relaxed Li4AcMg8 crystal (PBE-GGA).

## Properties
DFT formation energy   -69 meV per atom
V   304.8 Å³/cell

```
Li4AcMg8
1.0
-5.2703 5.2703 2.7438
5.2703 -5.2703 2.7438
5.2703 5.2703 -2.7438
Li Ac Mg
4 1 8
Cartesian
2.6351 2.6351 -1.3719
2.6351 -2.6351 1.3719
-2.6351 2.6351 1.3719
2.6351 2.6351 1.3719
0.0000 0.0000 0.0000
3.7530 0.0000 0.0000
6.7876 0.0000 0.0000
5.2703 2.9556 0.0000
0.0000 3.7530 0.0000
2.9556 5.2703 0.0000
2.3147 0.0000 2.7438
0.0000 6.7876 0.0000
0.0000 2.3147 2.7438
```